[1]
The following is a GGA-PBEsol calculation of an optimized crystal structure of KAg2Ru, from the Alexandria database.

a = 2.695 Å, b = 5.214 Å, c = 6.140 Å
α = 115.12°, β = 102.68°, γ = 90.00°
Element x y z (fractional)
Ag  0.727  0.227  0.453
Ag  0.996  0.996  0.992
K  0.501  0.501  0.002
Ru  0.276  0.776  0.553

Summary:
Energy relative to the elements ... 0.7427 eV/atom
Excess energy over the best structure of this formula in the dataset ... 11.7 kJ/mol of atoms
N(E_F) ... 1.39 states/eV per cell

---

[2]
The following is a GGA-PBEsol calculation of an optimized crystal structure of KAg2Ru, from the Alexandria database.

a = 2.694 Å, b = 4.092 Å, c = 7.326 Å
α = 90.00°, β = 90.00°, γ = 90.00°
Element x y z (fractional)
K  0.500  0.500  0.000
Ru  0.500  0.500  0.500
Ag  0.000  0.000  0.316
Ag  0.000  0.000  0.684

Summary:
Energy relative to the elements ... 0.6215 eV/atom
Excess energy over the best structure of this formula in the dataset ... 0.0 kJ/mol of atoms
N(E_F) ... 3.20 states/eV per cell

---

[3]
The following is a GGA-PBEsol calculation of an optimized crystal structure of KAg2Ru, from the Alexandria database.

a = 2.696 Å, b = 5.193 Å, c = 5.193 Å
α = 90.00°, β = 90.00°, γ = 90.00°
Element x y z (fractional)
Ru  0.500  0.000  0.000
Ag  0.000  0.500  0.000
Ag  0.000  0.000  0.500
K  0.500  0.500  0.500

Summary:
Energy relative to the elements ... 0.7080 eV/atom
Excess energy over the best structure of this formula in the dataset ... 8.3 kJ/mol of atoms
N(E_F) ... 1.44 states/eV per cell

---

[4]
The following is a GGA-PBEsol calculation of an optimized crystal structure of K2AgRu, from the Alexandria database.

a = 2.792 Å, b = 4.372 Å, c = 9.658 Å
α = 90.00°, β = 90.00°, γ = 90.00°
Element x y z (fractional)
Ru  0.000  0.000  0.589
Ag  0.500  0.500  0.663
K  0.000  0.000  0.906
K  0.500  0.500  0.342

Summary:
Energy relative to the elements ... 0.7816 eV/atom
Excess energy over the best structure of this formula in the dataset ... 0.0 kJ/mol of atoms
N(E_F) ... 4.34 states/eV per cell

---

[5]
The following is a GGA-PBEsol calculation of an optimized crystal structure of K2AgRu, from the Alexandria database.

a = 5.147 Å, b = 5.147 Å, c = 5.147 Å
α = 60.00°, β = 60.00°, γ = 60.00°
Element x y z (fractional)
Ag  0.500  0.500  0.500
Ru  0.250  0.250  0.250
K  0.750  0.750  0.750
K  0.000  0.000  0.000

Summary:
Energy relative to the elements ... 1.1319 eV/atom
Excess energy over the best structure of this formula in the dataset ... 33.8 kJ/mol of atoms
N(E_F) ... 5.52 states/eV per cell

---

[6]
The following is a GGA-PBEsol calculation of an optimized crystal structure of KAg2S2, from the Alexandria database.

a = 4.900 Å, b = 4.900 Å, c = 5.930 Å
α = 114.40°, β = 114.40°, γ = 90.00°
Element x y z (fractional)
S  0.750  0.250  0.500
S  0.250  0.750  0.500
Ag  0.683  0.683  0.367
Ag  0.317  0.317  0.633
K  0.000  0.000  0.000

Summary:
ΔE_f (raw) ... -0.3056 eV/atom
N(E_F) ... 1.24 states/eV per cell

---

[7]
The following is a GGA-PBEsol calculation of an optimized crystal structure of KAg3S2, from the Alexandria database.

a = 9.104 Å, b = 9.104 Å, c = 9.104 Å
α = 60.00°, β = 60.00°, γ = 60.00°
Element x y z (fractional)
S  0.369  0.369  0.892
S  0.369  0.892  0.369
S  0.881  0.358  0.881
S  0.892  0.369  0.369
S  0.881  0.881  0.358
S  0.881  0.881  0.881
S  0.369  0.369  0.369
S  0.358  0.881  0.881
Ag  0.662  0.662  0.338
Ag  0.588  0.912  0.912
Ag  0.662  0.338  0.338
Ag  0.912  0.588  0.588
Ag  0.338  0.662  0.338
Ag  0.588  0.588  0.912
Ag  0.338  0.338  0.662
Ag  0.912  0.588  0.912
Ag  0.662  0.338  0.662
Ag  0.588  0.912  0.588
Ag  0.338  0.662  0.662
Ag  0.912  0.912  0.588
K  0.625  0.125  0.125
K  0.125  0.125  0.625
K  0.125  0.125  0.125
K  0.125  0.625  0.125

Summary:
ΔE_f (raw) ... -0.3610 eV/atom

---

[8]
The following is a GGA-PBEsol calculation of an optimized crystal structure of KAg5S3, from the Alexandria database.

a = 7.856 Å, b = 13.011 Å, c = 13.011 Å
α = 120.00°, β = 90.00°, γ = 90.00°
Element x y z (fractional)
Ag  0.500  0.461  0.461
Ag  0.501  0.667  0.814
Ag  0.750  0.995  0.706
Ag  0.001  0.853  0.186
Ag  0.500  0.000  0.539
Ag  0.499  0.853  0.186
Ag  0.750  0.294  0.289
Ag  0.000  0.461  0.461
Ag  0.999  0.667  0.814
Ag  0.250  0.001  0.371
Ag  0.499  0.814  0.667
Ag  0.750  0.999  0.369
Ag  0.501  0.147  0.333
Ag  0.000  0.539  0.000
Ag  0.250  0.706  0.995
Ag  0.499  0.333  0.147
Ag  0.000  0.000  0.539
Ag  0.250  0.289  0.294
Ag  0.250  0.629  0.631
Ag  0.250  0.005  0.711
Ag  0.750  0.371  0.001
Ag  0.250  0.369  0.999
Ag  0.750  0.711  0.005
Ag  0.999  0.147  0.333
Ag  0.500  0.539  0.000
Ag  0.001  0.814  0.667
Ag  0.750  0.631  0.629
Ag  0.999  0.186  0.853
Ag  0.001  0.333  0.147
Ag  0.501  0.186  0.853
S  0.250  0.552  0.778
S  0.750  0.785  0.863
S  0.750  0.118  0.588
S  0.750  0.774  0.222
S  0.250  0.530  0.412
S  0.750  0.778  0.552
S  0.250  0.215  0.078
S  0.750  0.470  0.882
S  0.250  0.588  0.118
S  0.750  0.078  0.215
S  0.250  0.922  0.137
S  0.750  0.448  0.226
S  0.250  0.882  0.470
S  0.250  0.863  0.785
S  0.250  0.222  0.774
S  0.250  0.226  0.448
S  0.750  0.137  0.922
S  0.750  0.412  0.530
K  0.499  0.667  0.333
K  0.000  0.000  0.000
K  0.999  0.333  0.667
K  0.500  0.000  0.000
K  0.001  0.667  0.333
K  0.501  0.333  0.667

Summary:
ΔE_f (raw) ... -0.2972 eV/atom
N(E_F) ... 1.14 states/eV per cell

---

For each record above, in turn, the calculated density values are 7.80; 7.32; 8.13; 4.04; 4.94; 4.58; 5.31; 5.84 g/cm³.
For each record above, in turn, the calculated volume values are 75.8; 80.8; 72.7; 117.9; 96.4; 115.5; 533.6; 1151.7 Å³/cell.